Record 1
PmAgAu after structural relaxation. Source: Alexandria, functional PBE-GGA.

## Properties
calculated formation energy = -443 meV per atom
energy above the lowest structure with this stoichiometry = 0.109 eV per atom
final energy = -4.069 eV/atom
magnetization = 0.00 μB per formula unit
space group = P6_3/mmc (194)
DOS(E_F) = 2.34 states/eV/f.u.

Unit cell a=5.3420 b=5.3420 c=5.8605 alpha=90.00 beta=90.00 gamma=120.00
With the nearest neighbours (Å) after each atom.
Element x y z (fractional)
Ag1 0.0000 0.0000 0.8428  2 Ag 2.93, 3 Au 3.08, 3 Pm 3.08
Ag2 0.0000 0.0000 0.3428  2 Ag 2.93, 3 Au 3.08, 3 Pm 3.08
Au1 0.6667 0.3333 0.8431  5 Pm 2.93-3.08, 3 Ag 3.08
Au2 0.3333 0.6667 0.3431  5 Pm 2.93-3.08, 3 Ag 3.08
Pm1 0.6667 0.3333 0.3431  5 Au 2.93-3.08, 3 Ag 3.08
Pm2 0.3333 0.6667 0.8431  5 Au 2.93-3.08, 3 Ag 3.08

---

Record 2
Pm4AgAu2 after structural relaxation. Source: Alexandria, functional PBE-GGA.

## Properties
calculated formation energy = -444 meV per atom
energy above the lowest structure with this stoichiometry = 0.003 eV per atom
final energy = -4.503 eV/atom
magnetization = 0.00 μB per formula unit
space group = I4/mmm (139)
DOS(E_F) = 8.41 states/eV/f.u.

Unit cell a=6.3497 b=6.3497 c=6.3497 alpha=108.63 beta=109.89 gamma=109.89
With the nearest neighbours (Å) after each atom.
Element x y z (fractional)
Au1 0.5000 0.5000 0.0000  8 Pm 3.17
Au2 0.5000 0.0000 0.5000  8 Pm 3.17
Ag1 0.0000 0.0000 0.0000  8 Pm 3.17
Pm1 0.5000 0.5000 0.5000  4 Au 3.17, 2 Ag 3.17
Pm2 0.0000 0.0000 0.5000  4 Au 3.17, 2 Ag 3.17
Pm3 0.0000 0.5000 0.0000  4 Au 3.17, 2 Ag 3.17
Pm4 0.5000 0.0000 0.0000  2 Ag 3.17, 4 Au 3.17

---

Record 3
PmAgAu after structural relaxation. Source: Alexandria, functional PBE-GGA.

## Properties
calculated formation energy = -552 meV per atom
energy above the lowest structure with this stoichiometry = 0.000 eV per atom
final energy = -4.178 eV/atom
magnetization = 0.00 μB per formula unit
space group = P2_1/m (11)
DOS(E_F) = 1.22 states/eV/f.u.

Unit cell a=3.8131 b=4.0161 c=9.6059 alpha=90.00 beta=107.71 gamma=89.99
With the nearest neighbours (Å) after each atom.
Element x y z (fractional)
Ag1 0.1914 0.2500 0.9269  1 Au 2.99, 4 Ag 3.06-3.09, 5 Pm 3.08-3.28
Ag2 0.8086 0.7500 0.0731  1 Au 2.99, 4 Ag 3.06-3.09, 5 Pm 3.08-3.28
Pm1 0.4575 0.2500 0.2639  5 Au 3.02-3.20, 5 Ag 3.08-3.28
Pm2 0.5425 0.7500 0.7361  5 Au 3.02-3.20, 5 Ag 3.08-3.28
Au1 0.0557 0.7500 0.3999  2 Au 2.90, 1 Ag 2.99, 5 Pm 3.02-3.20
Au2 0.9443 0.2500 0.6001  2 Au 2.90, 1 Ag 2.99, 5 Pm 3.02-3.20

---

Record 4
Pm2AgAu6 after structural relaxation. Source: Alexandria, functional PBE-GGA.

## Properties
calculated formation energy = -500 meV per atom
energy above the lowest structure with this stoichiometry = 0.000 eV per atom
final energy = -4.057 eV/atom
magnetization = 0.00 μB per formula unit
space group = P-3m1 (164)
DOS(E_F) = 5.10 states/eV/f.u.

Unit cell a=5.6384 b=6.3448 c=6.3448 alpha=120.00 beta=90.00 gamma=90.00
With the nearest neighbours (Å) after each atom.
Element x y z (fractional)
Pm1 0.3302 0.6667 0.3333  12 Au 3.21-3.31
Pm2 0.6698 0.3333 0.6667  12 Au 3.21-3.31
Au1 0.1795 0.1843 0.3686  1 Ag 2.71, 4 Au 2.84-2.86
Au2 0.8205 0.8157 0.6314  1 Ag 2.71, 4 Au 2.84-2.86
Au3 0.8205 0.3686 0.1843  1 Ag 2.71, 4 Au 2.84-2.86
Au4 0.1795 0.1843 0.8157  1 Ag 2.71, 4 Au 2.84-2.86
Au5 0.1795 0.6314 0.8157  1 Ag 2.71, 4 Au 2.84-2.86
Au6 0.8205 0.8157 0.1843  1 Ag 2.71, 4 Au 2.84-2.86
Ag1 0.5000 0.0000 0.0000  6 Au 2.71

---

Record 5
Pm3Ag5Au2 after structural relaxation. Source: Alexandria, functional PBE-GGA.

## Properties
calculated formation energy = -394 meV per atom
energy above the lowest structure with this stoichiometry = 0.000 eV per atom
final energy = -3.900 eV/atom
magnetization = 0.00 μB per formula unit
space group = P-1 (2)
DOS(E_F) = 5.66 states/eV/f.u.

Unit cell a=8.8481 b=8.8776 c=8.5732 alpha=123.36 beta=118.07 gamma=92.97
With the nearest neighbours (Å) after each atom.
Element x y z (fractional)
Ag1 0.5989 0.7107 0.2109  1 Au 2.84, 5 Ag 2.85-2.96, 1 Pm 3.16
Ag2 0.9876 0.1604 0.5073  4 Ag 2.81-2.96, 2 Au 2.87-3.06, 1 Pm 3.09
Ag3 0.7825 0.5240 0.0083  6 Ag 2.78-2.88, 1 Pm 3.05
Ag4 0.4011 0.2893 0.7891  1 Au 2.84, 5 Ag 2.85-2.96, 1 Pm 3.16
Ag5 0.1300 0.5390 0.2886  4 Ag 2.78-2.89, 2 Au 2.79-3.07, 1 Pm 3.11
Ag6 0.8700 0.4610 0.7114  4 Ag 2.78-2.89, 2 Au 2.79-3.07, 1 Pm 3.11
Ag7 0.0124 0.8396 0.4927  4 Ag 2.81-2.96, 2 Au 2.87-3.06, 1 Pm 3.09
Ag8 0.5190 0.6390 0.4556  4 Ag 2.85-3.00, 2 Au 2.98-3.00, 1 Pm 3.06
Ag9 0.4810 0.3610 0.5444  4 Ag 2.85-3.00, 2 Au 2.98-3.00, 1 Pm 3.06
Ag10 0.2175 0.4760 0.9917  6 Ag 2.78-2.88, 1 Pm 3.05
Au1 0.9420 0.8041 0.7680  3 Ag 2.79-3.00, 2 Pm 2.96-3.07, 1 Au 3.09
Au2 0.0580 0.1959 0.2320  3 Ag 2.79-3.00, 2 Pm 2.96-3.07, 1 Au 3.09
Au3 0.4376 0.9556 0.7477  4 Ag 2.84-3.07, 2 Pm 2.99-3.14
Au4 0.5624 0.0444 0.2523  4 Ag 2.84-3.07, 2 Pm 2.99-3.14
Pm1 0.2762 0.1596 0.0302  4 Au 2.96-3.14, 4 Ag 3.05-3.26
Pm2 0.2200 0.8963 0.2769  6 Ag 3.13-3.47, 4 Au 3.21-3.39
Pm3 0.7238 0.8404 0.9698  4 Au 2.96-3.14, 4 Ag 3.05-3.26
Pm4 0.2483 0.6157 0.7386  7 Ag 3.11-3.42, 4 Au 3.20-3.32
Pm5 0.7517 0.3843 0.2614  7 Ag 3.11-3.42, 4 Au 3.20-3.32
Pm6 0.7800 0.1037 0.7231  6 Ag 3.13-3.47, 4 Au 3.21-3.39

---

Record 6
Pm12AgAu6 after structural relaxation. Source: Alexandria, functional PBE-GGA.

## Properties
calculated formation energy = -349 meV per atom
final energy = -4.535 eV/atom
magnetization = 0.00 μB per formula unit
space group = R-3 (148)
DOS(E_F) = 23.73 states/eV/f.u.

Unit cell a=8.6776 b=8.6776 c=8.6776 alpha=100.12 beta=100.12 gamma=100.12
With the nearest neighbours (Å) after each atom.
Element x y z (fractional)
Au1 0.3825 0.6930 0.8638  6 Pm 2.96-3.13
Au2 0.8638 0.3825 0.6930  6 Pm 2.96-3.13
Au3 0.3070 0.1362 0.6175  6 Pm 2.96-3.13
Au4 0.6175 0.3070 0.1362  6 Pm 2.96-3.13
Au5 0.1362 0.6175 0.3070  6 Pm 2.96-3.13
Au6 0.6930 0.8638 0.3825  6 Pm 2.96-3.13
Ag1 0.0000 0.0000 0.0000  6 Pm 2.94
Pm1 0.4239 0.5749 0.1790  4 Au 2.96-3.13
Pm2 0.6740 0.9300 0.0576  1 Ag 2.94, 2 Au 2.96-2.99
Pm3 0.9424 0.3260 0.0700  1 Ag 2.94, 2 Au 2.96-2.99
Pm4 0.0576 0.6740 0.9300  1 Ag 2.94, 2 Au 2.96-2.99
Pm5 0.0700 0.9424 0.3260  1 Ag 2.94, 2 Au 2.96-2.99
Pm6 0.1790 0.4239 0.5749  4 Au 2.96-3.13
Pm7 0.5749 0.1790 0.4239  4 Au 2.96-3.13
Pm8 0.3260 0.0700 0.9424  1 Ag 2.94, 2 Au 2.96-2.99
Pm9 0.8210 0.5761 0.4251  4 Au 2.96-3.13
Pm10 0.9300 0.0576 0.6740  1 Ag 2.94, 2 Au 2.96-2.99
Pm11 0.4251 0.8210 0.5761  4 Au 2.96-3.13
Pm12 0.5761 0.4251 0.8210  4 Au 2.96-3.13

---

Record 7
Pm2AgAu3 after structural relaxation. Source: Alexandria, functional PBE-GGA.

## Properties
calculated formation energy = -644 meV per atom
final energy = -4.342 eV/atom
magnetization = 0.00 μB per formula unit
space group = Fmmm (69)
DOS(E_F) = 4.80 states/eV/f.u.

Unit cell a=5.9438 b=5.9438 c=8.9667 alpha=103.51 beta=103.51 gamma=107.17
With the nearest neighbours (Å) after each atom.
Element x y z (fractional)
Ag1 0.6667 0.6667 0.3335  3 Au 2.73-2.74
Ag2 0.3333 0.3333 0.6665  3 Au 2.73-2.74
Pm1 0.2500 0.7500 0.5000  8 Au 3.25-3.27, 4 Ag 3.27, 2 Pm 3.53
Pm2 0.7509 0.7509 0.0000  10 Au 3.27-3.29, 2 Ag 3.27, 2 Pm 3.52-3.54
Pm3 0.7500 0.2500 0.5000  8 Au 3.25-3.27, 4 Ag 3.27, 2 Pm 3.53
Pm4 0.2491 0.2491 0.0000  10 Au 3.27-3.29, 2 Ag 3.27, 2 Pm 3.52-3.54
Au1 0.6636 0.1681 0.8317  1 Ag 2.73, 2 Au 2.77-2.78
Au2 0.8328 0.8328 0.6655  1 Ag 2.74, 2 Au 2.77
Au3 0.1672 0.1672 0.3345  1 Ag 2.74, 2 Au 2.77
Au4 0.1681 0.6636 0.8317  1 Ag 2.73, 2 Au 2.77-2.78
Au5 0.3364 0.8319 0.1683  1 Ag 2.73, 2 Au 2.77-2.78
Au6 0.8319 0.3364 0.1683  1 Ag 2.73, 2 Au 2.77-2.78

---

Record 8
Pm2Ag3Au after structural relaxation. Source: Alexandria, functional PBE-GGA.

## Properties
calculated formation energy = -396 meV per atom
final energy = -3.952 eV/atom
magnetization = 0.00 μB per formula unit
space group = Pmm2 (25)
DOS(E_F) = 4.56 states/eV/f.u.

Unit cell a=3.5749 b=4.8189 c=8.2038 alpha=90.00 beta=90.00 gamma=90.00
With the nearest neighbours (Å) after each atom.
Element x y z (fractional)
Ag1 0.5000 0.0000 0.8300  3 Ag 2.74
Ag2 0.5000 0.5000 0.6715  2 Ag 2.74, 1 Au 2.77
Ag3 0.5000 0.0000 0.1639  1 Ag 2.74, 2 Au 2.78
Au1 0.5000 0.5000 0.3333  3 Ag 2.77-2.78
Pm1 0.0000 0.0000 0.4899  8 Ag 3.22-3.35, 4 Au 3.26, 2 Pm 3.57
Pm2 0.0000 0.5000 0.0114  2 Au 3.19, 10 Ag 3.25-3.35